# 1
{
  "formula": "ReRhAu",
  "functional": "GGA-PBE",
  "state": "optimized geometry",
  "cell": [[2.043, -3.486, 1.322], [-2.114, -3.661, 0.449], [0.703, -3.206, -2.703]],
  "species": ["Re", "Au", "Rh"],
  "frac_coords": [[0.500, 0.500, 0.500], [0.000, 0.000, 0.000], [0.250, 0.250, 0.250]],
  "e_above_lowest_polymorph_ev_per_fu": 1.89,
  "dos_at_fermi_per_ev_cell": 7.012,
  "total_energy_ry_per_atom": -0.510,
  "total_magnetization_mub_per_fu": 0.0,
  "formation_enthalpy_0k_mev_per_atom": 755,
  "space_group": "F-43m (216)",
  "rho_g_cm3": 14.86
}

=====

# 2
{
  "formula": "Re2RhAu",
  "functional": "GGA-PBE",
  "state": "optimized geometry",
  "cell": [[-1.990, 1.990, 3.855], [1.990, -1.990, 3.855], [1.990, 1.990, -3.855]],
  "species": ["Re", "Re", "Au", "Rh"],
  "frac_coords": [[0.000, 0.000, 0.000], [0.250, 0.750, 0.500], [0.750, 0.250, 0.500], [0.500, 0.500, 0.000]],
  "e_above_lowest_polymorph_ev_per_fu": 0.63,
  "dos_at_fermi_per_ev_cell": 3.805,
  "total_energy_ry_per_atom": -0.632,
  "total_magnetization_mub_per_fu": 0.0,
  "formation_enthalpy_0k_mev_per_atom": 278,
  "space_group": "I-4m2 (119)",
  "rho_g_cm3": 18.29
}

=====

# 3
{
  "formula": "Re2RhAu",
  "functional": "GGA-PBE",
  "state": "optimized geometry",
  "cell": [[2.800, 0.000, 0.000], [0.000, 2.800, 0.000], [0.000, 0.000, 7.901]],
  "species": ["Re", "Re", "Rh", "Au"],
  "frac_coords": [[0.000, 0.000, 0.017], [0.500, 0.500, 0.249], [0.000, 0.000, 0.483], [0.500, 0.500, 0.750]],
  "e_above_lowest_polymorph_ev_per_fu": 0.06,
  "dos_at_fermi_per_ev_cell": 4.689,
  "total_energy_ry_per_atom": -0.643,
  "total_magnetization_mub_per_fu": 0.0,
  "formation_enthalpy_0k_mev_per_atom": 137,
  "space_group": "P4mm (99)",
  "rho_g_cm3": 18.03
}

=====

# 4
{
  "formula": "ReRhAu2",
  "functional": "GGA-PBE",
  "state": "optimized geometry",
  "cell": [[2.791, 0.000, 0.000], [0.000, 4.049, 0.000], [0.000, 0.000, 5.670]],
  "species": ["Au", "Au", "Rh", "Re"],
  "frac_coords": [[0.000, 0.000, 0.752], [0.000, 0.000, 0.248], [0.500, 0.500, 0.500], [0.500, 0.500, 0.000]],
  "e_above_lowest_polymorph_ev_per_fu": 1.35,
  "dos_at_fermi_per_ev_cell": 4.216,
  "total_energy_ry_per_atom": -0.451,
  "total_magnetization_mub_per_fu": 0.0,
  "formation_enthalpy_0k_mev_per_atom": 447,
  "space_group": "Pmmm (47)",
  "rho_g_cm3": 17.70
}

=====

# 5
{
  "formula": "ReRhAu2",
  "functional": "GGA-PBE",
  "state": "optimized geometry",
  "cell": [[2.786, 0.000, 0.000], [0.000, 4.798, 0.000], [0.000, 0.000, 4.923]],
  "species": ["Au", "Au", "Re", "Rh"],
  "frac_coords": [[0.500, 0.500, 0.000], [0.000, 0.000, 0.000], [0.500, 0.000, 0.500], [0.000, 0.500, 0.500]],
  "e_above_lowest_polymorph_ev_per_fu": 1.61,
  "dos_at_fermi_per_ev_cell": 5.823,
  "total_energy_ry_per_atom": -0.447,
  "total_magnetization_mub_per_fu": 0.7,
  "formation_enthalpy_0k_mev_per_atom": 511,
  "space_group": "Pmmm (47)",
  "rho_g_cm3": 17.23
}

=====

# 6
{
  "formula": "Re4RhAu",
  "functional": "GGA-PBE",
  "state": "optimized geometry",
  "cell": [[0.000, 3.660, 3.660], [3.660, 0.000, 3.660], [3.660, 3.660, 0.000]],
  "species": ["Au", "Re", "Re", "Re", "Re", "Rh"],
  "frac_coords": [[0.000, 0.000, 0.000], [0.375, 0.875, 0.375], [0.375, 0.375, 0.875], [0.875, 0.375, 0.375], [0.375, 0.375, 0.375], [0.750, 0.750, 0.750]],
  "dos_at_fermi_per_ev_cell": 6.306,
  "total_energy_ry_per_atom": -0.698,
  "total_magnetization_mub_per_fu": 0.0,
  "formation_enthalpy_0k_mev_per_atom": 577,
  "space_group": "F-43m (216)",
  "rho_g_cm3": 17.70
}

=====

# 7
{
  "formula": "ReRh2Au",
  "functional": "GGA-PBE",
  "state": "optimized geometry",
  "cell": [[0.000, 3.135, 3.135], [3.135, 0.000, 3.135], [3.135, 3.135, 0.000]],
  "species": ["Au", "Re", "Rh", "Rh"],
  "frac_coords": [[0.500, 0.500, 0.500], [0.250, 0.250, 0.250], [0.750, 0.750, 0.750], [0.000, 0.000, 0.000]],
  "e_above_lowest_polymorph_ev_per_fu": 2.23,
  "dos_at_fermi_per_ev_cell": 6.128,
  "total_energy_ry_per_atom": -0.523,
  "total_magnetization_mub_per_fu": 0.0,
  "formation_enthalpy_0k_mev_per_atom": 495,
  "space_group": "F-43m (216)",
  "rho_g_cm3": 15.88
}

=====

# 8
{
  "formula": "Re3RhAu",
  "functional": "GGA-PBE",
  "state": "optimized geometry",
  "cell": [[-1.255, 3.645, -2.608], [-3.942, -2.186, -1.158], [-2.132, 1.896, 3.677]],
  "species": ["Re", "Re", "Re", "Au", "Rh"],
  "frac_coords": [[0.000, 0.500, 0.000], [0.500, 0.000, 0.000], [0.000, 0.000, 0.500], [0.500, 0.500, 0.500], [0.000, 0.000, 0.000]],
  "e_above_lowest_polymorph_ev_per_fu": 0.00,
  "dos_at_fermi_per_ev_cell": 6.731,
  "total_energy_ry_per_atom": -0.535,
  "total_magnetization_mub_per_fu": 0.0,
  "formation_enthalpy_0k_mev_per_atom": 2311,
  "space_group": "Pm-3m (221)",
  "rho_g_cm3": 14.14
}

=====

# 9
{
  "formula": "ReRhAu2",
  "functional": "GGA-PBE",
  "state": "optimized geometry",
  "cell": [[-4.117, -2.293, 1.260], [-1.156, -0.513, -4.711], [1.330, -2.422, -0.063]],
  "species": ["Au", "Au", "Rh", "Re"],
  "frac_coords": [[0.500, 0.000, 0.000], [0.000, 0.500, 0.000], [0.000, 0.000, 0.500], [0.500, 0.500, 0.500]],
  "e_above_lowest_polymorph_ev_per_fu": 1.91,
  "dos_at_fermi_per_ev_cell": 4.121,
  "total_energy_ry_per_atom": -0.441,
  "total_magnetization_mub_per_fu": 1.5,
  "formation_enthalpy_0k_mev_per_atom": 585,
  "space_group": "P4/mmm (123)",
  "rho_g_cm3": 17.25
}

=====

# 10
{
  "formula": "Re2RhAu",
  "functional": "GGA-PBE",
  "state": "optimized geometry",
  "cell": [[-0.729, 1.544, 9.241], [-0.875, -1.223, 9.276], [1.595, 0.034, 9.261]],
  "species": ["Rh", "Re", "Re", "Au"],
  "frac_coords": [[0.500, 0.500, 0.500], [0.246, 0.246, 0.246], [0.754, 0.754, 0.754], [0.000, 0.000, 0.000]],
  "e_above_lowest_polymorph_ev_per_fu": 0.55,
  "dos_at_fermi_per_ev_cell": 3.786,
  "total_energy_ry_per_atom": -0.634,
  "total_magnetization_mub_per_fu": 0.0,
  "formation_enthalpy_0k_mev_per_atom": 258,
  "space_group": "R-3m (166)",
  "rho_g_cm3": 18.12
}

=====

# 11
{
  "formula": "ReRhAu2",
  "functional": "GGA-PBE",
  "state": "optimized geometry",
  "cell": [[-2.431, -1.252, 4.943], [1.154, 3.016, 4.635], [-2.080, -0.433, -5.234]],
  "species": ["Au", "Au", "Rh", "Re"],
  "frac_coords": [[0.988, 0.988, 0.000], [0.262, 0.762, 0.500], [0.732, 0.232, 0.500], [0.519, 0.519, 0.000]],
  "e_above_lowest_polymorph_ev_per_fu": 1.19,
  "dos_at_fermi_per_ev_cell": 3.652,
  "total_energy_ry_per_atom": -0.454,
  "total_magnetization_mub_per_fu": 0.0,
  "formation_enthalpy_0k_mev_per_atom": 405,
  "space_group": "Imm2 (44)",
  "rho_g_cm3": 17.05
}

=====

# 12
{
  "formula": "ReRh2Au",
  "functional": "GGA-PBE",
  "state": "optimized geometry",
  "cell": [[1.377, 4.573, -0.016], [-1.377, 4.573, -0.016], [0.000, 0.810, 4.814]],
  "species": ["Au", "Rh", "Rh", "Re"],
  "frac_coords": [[0.000, 0.000, 0.500], [0.754, 0.754, 0.233], [0.246, 0.246, 0.767], [0.500, 0.500, 0.000]],
  "e_above_lowest_polymorph_ev_per_fu": 0.81,
  "dos_at_fermi_per_ev_cell": 5.451,
  "total_energy_ry_per_atom": -0.549,
  "total_magnetization_mub_per_fu": 0.0,
  "formation_enthalpy_0k_mev_per_atom": 142,
  "space_group": "C2/m (12)",
  "rho_g_cm3": 16.12
}

=====

# 13
{
  "formula": "Re2RhAu",
  "functional": "GGA-PBE",
  "state": "optimized geometry",
  "cell": [[-1.919, 1.919, 4.148], [1.919, -1.919, 4.148], [1.919, 1.919, -4.148]],
  "species": ["Rh", "Re", "Re", "Au"],
  "frac_coords": [[0.000, 0.000, 0.000], [0.750, 0.250, 0.500], [0.250, 0.750, 0.500], [0.500, 0.500, 0.000]],
  "e_above_lowest_polymorph_ev_per_fu": 0.88,
  "dos_at_fermi_per_ev_cell": 4.286,
  "total_energy_ry_per_atom": -0.628,
  "total_magnetization_mub_per_fu": 0.0,
  "formation_enthalpy_0k_mev_per_atom": 342,
  "space_group": "I4/mmm (139)",
  "rho_g_cm3": 18.27
}

=====

# 14
{
  "formula": "ReRh2Au",
  "functional": "GGA-PBE",
  "state": "optimized geometry",
  "cell": [[3.981, 0.000, 0.000], [0.000, 3.981, 0.000], [0.000, 0.000, 3.833]],
  "species": ["Rh", "Rh", "Re", "Au"],
  "frac_coords": [[0.500, 0.000, 0.000], [0.000, 0.500, 0.000], [0.000, 0.000, 0.500], [0.500, 0.500, 0.500]],
  "e_above_lowest_polymorph_ev_per_fu": 1.51,
  "dos_at_fermi_per_ev_cell": 6.469,
  "total_energy_ry_per_atom": -0.536,
  "total_magnetization_mub_per_fu": 0.7,
  "formation_enthalpy_0k_mev_per_atom": 316,
  "space_group": "P4/mmm (123)",
  "rho_g_cm3": 16.10
}

=====

# 15
{
  "formula": "ReRh2Au",
  "functional": "GGA-PBE",
  "state": "optimized geometry",
  "cell": [[2.775, 0.000, 0.000], [0.000, 3.835, 0.000], [0.000, 0.000, 5.703]],
  "species": ["Au", "Rh", "Rh", "Re"],
  "frac_coords": [[0.500, 0.500, 0.000], [0.000, 0.000, 0.269], [0.000, 0.000, 0.731], [0.500, 0.500, 0.500]],
  "e_above_lowest_polymorph_ev_per_fu": 0.42,
  "dos_at_fermi_per_ev_cell": 2.994,
  "total_energy_ry_per_atom": -0.556,
  "total_magnetization_mub_per_fu": 0.0,
  "formation_enthalpy_0k_mev_per_atom": 42,
  "space_group": "Pmmm (47)",
  "rho_g_cm3": 16.11
}

=====

# 16
{
  "formula": "ReRhAu",
  "functional": "GGA-PBE",
  "state": "optimized geometry",
  "cell": [[-1.400, 1.961, 4.218], [1.400, -1.961, 4.218], [1.400, 1.961, -4.218]],
  "species": ["Re", "Rh", "Au"],
  "frac_coords": [[0.324, 0.324, 0.000], [0.677, 0.677, 0.000], [0.999, 0.999, 0.000]],
  "e_above_lowest_polymorph_ev_per_fu": 0.30,
  "dos_at_fermi_per_ev_cell": 1.602,
  "total_energy_ry_per_atom": -0.549,
  "total_magnetization_mub_per_fu": 0.0,
  "formation_enthalpy_0k_mev_per_atom": 224,
  "space_group": "Imm2 (44)",
  "rho_g_cm3": 17.43
}

=====

# 17
{
  "formula": "ReRhAu2",
  "functional": "GGA-PBE",
  "state": "optimized geometry",
  "cell": [[-2.539, 0.723, -0.802], [0.484, -0.163, 2.711], [2.629, 9.332, 0.093]],
  "species": ["Au", "Au", "Rh", "Re"],
  "frac_coords": [[0.000, 0.000, 0.247], [0.000, 0.000, 0.753], [0.500, 0.500, 0.000], [0.500, 0.500, 0.500]],
  "e_above_lowest_polymorph_ev_per_fu": 1.46,
  "dos_at_fermi_per_ev_cell": 4.442,
  "total_energy_ry_per_atom": -0.449,
  "total_magnetization_mub_per_fu": 0.0,
  "formation_enthalpy_0k_mev_per_atom": 473,
  "space_group": "Cmmm (65)",
  "rho_g_cm3": 17.33
}

=====

# 18
{
  "formula": "Re2RhAu",
  "functional": "GGA-PBE",
  "state": "optimized geometry",
  "cell": [[0.000, 3.151, 3.151], [3.151, 0.000, 3.151], [3.151, 3.151, 0.000]],
  "species": ["Re", "Re", "Rh", "Au"],
  "frac_coords": [[0.250, 0.250, 0.250], [0.750, 0.750, 0.750], [0.000, 0.000, 0.000], [0.500, 0.500, 0.500]],
  "e_above_lowest_polymorph_ev_per_fu": 2.69,
  "dos_at_fermi_per_ev_cell": 5.868,
  "total_energy_ry_per_atom": -0.594,
  "total_magnetization_mub_per_fu": 0.9,
  "formation_enthalpy_0k_mev_per_atom": 793,
  "space_group": "Fm-3m (225)",
  "rho_g_cm3": 17.85
}

=====

# 19
{
  "formula": "ReRhAu2",
  "functional": "GGA-PBE",
  "state": "optimized geometry",
  "cell": [[0.000, 3.195, 3.195], [3.195, 0.000, 3.195], [3.195, 3.195, 0.000]],
  "species": ["Au", "Au", "Re", "Rh"],
  "frac_coords": [[0.750, 0.750, 0.750], [0.000, 0.000, 0.000], [0.500, 0.500, 0.500], [0.250, 0.250, 0.250]],
  "e_above_lowest_polymorph_ev_per_fu": 1.85,
  "dos_at_fermi_per_ev_cell": 2.721,
  "total_energy_ry_per_atom": -0.442,
  "total_magnetization_mub_per_fu": 0.0,
  "formation_enthalpy_0k_mev_per_atom": 570,
  "space_group": "F-43m (216)",
  "rho_g_cm3": 17.39
}

=====

# 20
{
  "formula": "Re2RhAu",
  "functional": "GGA-PBE",
  "state": "optimized geometry",
  "cell": [[-2.292, -2.959, 8.555], [-4.511, -3.931, 7.168], [-2.163, -5.437, 7.277]],
  "species": ["Au", "Re", "Re", "Rh"],
  "frac_coords": [[0.249, 0.249, 0.249], [0.005, 0.005, 0.005], [0.750, 0.750, 0.750], [0.495, 0.495, 0.495]],
  "e_above_lowest_polymorph_ev_per_fu": 0.00,
  "dos_at_fermi_per_ev_cell": 4.767,
  "total_energy_ry_per_atom": -0.644,
  "total_magnetization_mub_per_fu": 0.0,
  "formation_enthalpy_0k_mev_per_atom": 121,
  "space_group": "R3m (160)",
  "rho_g_cm3": 17.98
}